1:
An optimized crystal structure of CdH2SeO4, computed with PBE-GGA. Values from VASP.

The structure in Quantum ESPRESSO input format:
```
&SYSTEM
  ibrav = 0, nat = 32, ntyp = 4
/
ATOMIC_SPECIES
O 16.00 O.upf
H 1.01 H.upf
Cd 112.41 Cd.upf
Se 78.96 Se.upf
ATOMIC_POSITIONS angstrom
O 4.558 4.538 8.800
O 2.026 1.513 12.733
O 0.898 2.825 2.371
O 1.634 0.200 9.548
O 3.597 1.513 2.024
O 3.038 4.538 1.623
O 0.506 1.513 5.555
O 4.165 3.225 11.984
O 1.065 4.538 5.153
O 4.165 5.850 11.984
O 3.430 5.850 4.807
O 3.998 1.513 9.202
O 1.467 4.538 12.331
O 0.898 0.200 2.371
O 3.430 3.225 4.807
O 1.634 2.825 9.548
H 2.626 0.732 12.624
H 2.626 2.293 12.624
H 0.095 3.757 8.909
H 0.095 5.318 8.909
H 4.969 0.732 5.446
H 2.437 3.757 1.732
H 2.437 5.318 1.732
H 4.969 2.293 5.446
Cd 2.870 4.538 10.438
Cd 2.194 1.513 3.917
Cd 0.338 1.513 11.095
Cd 4.726 4.538 3.260
Se 4.938 4.538 12.878
Se 0.126 1.513 1.477
Se 2.658 4.538 5.701
Se 2.406 1.513 8.655
CELL_PARAMETERS angstrom
5.064 0.000 0.000
0.000 6.050 0.000
0.000 0.000 14.355
```

=====

2:
An optimized crystal structure of CdH2SeO4, computed with PBE-GGA. Values from VASP.

The structure in Quantum ESPRESSO input format:
```
&SYSTEM
  ibrav = 0, nat = 8, ntyp = 4
/
ATOMIC_SPECIES
H 1.01 H.upf
O 16.00 O.upf
Cd 112.41 Cd.upf
Se 78.96 Se.upf
ATOMIC_POSITIONS angstrom
H 2.323 -2.803 -7.581
H 0.999 -1.211 -2.566
O 0.481 -1.390 -3.654
O 2.031 -3.280 -6.499
O 1.125 -0.507 -6.192
O 3.007 -2.851 -3.949
Cd 0.000 0.000 0.000
Se 1.661 -2.007 -5.074
CELL_PARAMETERS angstrom
-0.308 0.423 -4.728
4.337 -0.177 -2.692
-0.707 -4.260 -2.728
```

=====

Name the most stable of them. 1.

=====

1:
An optimized crystal structure of Cd2HOs2, computed with PBE-GGA. Values from VASP.

The structure in Quantum ESPRESSO input format:
```
&SYSTEM
  ibrav = 0, nat = 5, ntyp = 3
/
ATOMIC_SPECIES
Cd 112.41 Cd.upf
H 1.01 H.upf
Os 190.23 Os.upf
ATOMIC_POSITIONS angstrom
Cd 1.759 1.759 1.356
Cd 3.519 3.519 6.118
H 0.000 0.000 0.000
Os 3.519 1.759 3.737
Os 1.759 3.519 3.737
CELL_PARAMETERS angstrom
3.519 0.000 0.000
0.000 3.519 0.000
1.759 1.759 7.474
```

=====

2:
An optimized crystal structure of Cd2HOs2, computed with PBE-GGA. Values from VASP.

The structure in Quantum ESPRESSO input format:
```
&SYSTEM
  ibrav = 0, nat = 10, ntyp = 3
/
ATOMIC_SPECIES
Os 190.23 Os.upf
Cd 112.41 Cd.upf
H 1.01 H.upf
ATOMIC_POSITIONS angstrom
Os -0.312 -3.342 -1.716
Os 3.320 -3.794 1.648
Os 1.556 -7.189 -4.251
Os 5.188 -7.641 -0.887
Cd 2.018 -2.258 -0.499
Cd 0.993 -4.404 -4.130
Cd 4.409 -7.019 -3.550
Cd 5.434 -4.873 0.082
H 0.000 0.000 0.000
H 3.214 -4.639 -2.024
CELL_PARAMETERS angstrom
-0.519 -5.192 -6.683
6.947 -4.085 2.634
-1.551 -1.706 1.446
```

=====

Name the most stable of them. 1.